(1)
First-principles (PBE-GGA) data for Nd9MgSn2 after structural relaxation, as listed in Alexandria via LeMat-Bulk.

* formation energy from the elements: -29 kJ per mole of atoms
* space group: P4/mmm (123)

abc: 4.989 4.989 14.901
angles: 90.00 90.00 90.00
Atoms (fractional coordinates):
1 Nd 0.500 0.500 0.000
2 Nd 0.500 0.500 0.334
3 Nd 0.500 0.500 0.666
4 Nd 0.500 0.000 0.171
5 Nd 0.500 0.000 0.500
6 Nd 0.500 0.000 0.829
7 Nd 0.000 0.500 0.171
8 Nd 0.000 0.500 0.500
9 Nd 0.000 0.500 0.829
10 Mg 0.000 0.000 0.000
11 Sn 0.000 0.000 0.334
12 Sn 0.000 0.000 0.666

***

(2)
First-principles (PBE-GGA) data for Pm2PrY4Er2 after structural relaxation, as listed in Alexandria via LeMat-Bulk.

* formation energy from the elements: 0 kJ per mole of atoms
* space group: C2/m (12)

abc: 3.626 9.562 9.627
angles: 115.16 90.00 100.93
Atoms (fractional coordinates):
1 Pm 0.852 0.703 0.332
2 Pm 0.148 0.297 0.668
3 Pr 0.000 0.000 0.000
4 Y 0.815 0.629 0.666
5 Y 0.185 0.371 0.334
6 Y 0.519 0.038 0.334
7 Y 0.481 0.962 0.666
8 Er 0.332 0.664 0.998
9 Er 0.668 0.336 0.002

***

(3)
First-principles (PBE-GGA) data for Ca6TlIn2 after structural relaxation, as listed in Alexandria via LeMat-Bulk.

* formation energy from the elements: -30 kJ per mole of atoms
* space group: Immm (71)

abc: 9.257 9.257 9.257
angles: 106.21 111.46 110.78
Atoms (fractional coordinates):
1 Ca 0.553 0.730 0.823
2 Ca 0.447 0.270 0.177
3 Ca 0.092 0.270 0.823
4 Ca 0.908 0.730 0.177
5 Ca 0.806 0.747 0.553
6 Ca 0.194 0.253 0.447
7 Ca 0.194 0.747 0.941
8 Ca 0.806 0.253 0.059
9 Ca 0.715 0.381 0.666
10 Ca 0.285 0.619 0.334
11 Ca 0.285 0.952 0.666
12 Ca 0.715 0.048 0.334
13 Tl 0.000 0.500 0.500
14 Tl 0.000 0.000 0.000
15 In 0.500 0.368 0.868
16 In 0.500 0.632 0.132
17 In 0.653 0.000 0.653
18 In 0.347 0.000 0.347

***

(4)
First-principles (PBE-GGA) data for TmU2N3 after structural relaxation, as listed in Alexandria via LeMat-Bulk.

* formation energy from raw total energies: -1462 meV/atom
* space group: I4/mmm (139)

abc: 3.428 3.428 7.663
angles: 102.92 102.92 90.02
Last column: magnetic moment on the atom in μB.
Atoms (fractional coordinates):
1 Tm 0.434 0.436 0.874  0.09
2 U 0.100 0.101 0.206  1.51
3 U 0.768 0.770 0.542  1.51
4 N 0.934 0.936 0.874  -0.05
5 N 0.271 0.272 0.547  -0.08
6 N 0.598 0.599 0.201  -0.08